# PaV2Te3, optimized geometry, DFT PBE
data_PaV2Te3
_cell_length_a 3.734
_cell_length_b 8.557
_cell_length_c 10.590
_cell_angle_alpha 95.33
_cell_angle_beta 100.15
_cell_angle_gamma 90.00
_space_group_name_H-M_alt 'P 1'
_space_group_IT_number 1
_space_group_name_Hall 'P 1'
loop_
_atom_site_label
_atom_site_type_symbol
_atom_site_fract_x
_atom_site_fract_y
_atom_site_fract_z
V1 V 0.949 0.862 0.898
V2 V 0.285 0.565 0.571
V3 V 0.715 0.435 0.429
V4 V 0.051 0.138 0.102
Te1 Te 0.735 0.748 0.471
Te2 Te 0.413 0.646 0.827
Te3 Te 0.923 0.164 0.845
Te4 Te 0.265 0.252 0.529
Te5 Te 0.587 0.354 0.173
Te6 Te 0.077 0.836 0.155
Pa1 Pa 0.337 0.944 0.674
Pa2 Pa 0.663 0.056 0.326
# Final energy in eV per atom: -6.427
# Calculated volume in A^3/atom: 27.63